No. 1
This record from Alexandria via LeMat-Bulk describes a relaxed ScSbI2N crystal. The functional is PBE-GGA.

Values from the calculation:
N(E_F) ... 0.48 states/eV per atom
Offset from the most stable computed form ... 610 meV/atom

Cell lengths 5.7125, 5.7125, 5.8264 Å; angles 90.00, 90.00, 90.00 degrees
Closest atoms and distances in Å follow each position.
Positions (direct):
Sc (0.0000, 0.0000, 0.0000)  4 I 2.86, 2 Sb 2.91
Sb (0.0000, 0.0000, 0.5000)  2 Sc 2.91
I (0.0000, 0.5000, 0.0000)  2 Sc 2.86
I (0.5000, 0.0000, 0.0000)  2 Sc 2.86
N (0.5000, 0.5000, 0.5000)  4 Sb 4.04, 8 I 4.08

No. 2
This record from Alexandria via LeMat-Bulk describes a relaxed ScSbI2N crystal. The functional is PBE-GGA.

Values from the calculation:
N(E_F) ... 0.62 states/eV per atom
Offset from the most stable computed form ... 516 meV/atom

Cell lengths 4.8596, 4.8596, 5.0389 Å; angles 90.00, 90.00, 90.00 degrees
Closest atoms and distances in Å follow each position.
Positions (direct):
Sc (0.0000, 0.0000, 0.0000)  4 Sb 3.44, 8 I 3.50
Sb (0.5000, 0.5000, 0.0000)  2 N 2.52
I (0.0000, 0.5000, 0.5000)  2 N 2.43
I (0.5000, 0.0000, 0.5000)  2 N 2.43
N (0.5000, 0.5000, 0.5000)  4 I 2.43, 2 Sb 2.52

No. 3
This record from Alexandria via LeMat-Bulk describes a relaxed ScSbI2N crystal. The functional is PBE-GGA.

Values from the calculation:
N(E_F) ... 1.41 states/eV per atom
Offset from the most stable computed form ... 0 meV/atom

Cell lengths 5.9875, 5.9875, 3.8896 Å; angles 90.00, 90.00, 90.00 degrees
Closest atoms and distances in Å follow each position.
Positions (direct):
Sc (0.0000, 0.0000, 0.0000)  2 N 1.94
Sb (0.5000, 0.5000, 0.5000)  8 I 3.57, 2 Sb 3.89
I (0.0000, 0.5000, 0.0000)  2 Sc 2.99
I (0.5000, 0.0000, 0.0000)  2 Sc 2.99
N (0.0000, 0.0000, 0.5000)  2 Sc 1.94

No. 4
This record from Alexandria via LeMat-Bulk describes a relaxed ScSbI2N crystal. The functional is PBE-GGA.

Values from the calculation:
N(E_F) ... 1.06 states/eV per atom
Offset from the most stable computed form ... 481 meV/atom

Cell lengths 6.2402, 6.2402, 3.9936 Å; angles 90.00, 90.00, 90.00 degrees
Closest atoms and distances in Å follow each position.
Positions (direct):
Sc (0.0000, 0.0000, 0.0000)  8 I 3.70, 2 Sc 3.99
Sb (0.5000, 0.5000, 0.5000)  2 N 2.00
I (0.0000, 0.5000, 0.5000)  2 Sb 3.12
I (0.5000, 0.0000, 0.5000)  2 Sb 3.12
N (0.5000, 0.5000, 0.0000)  2 Sb 2.00

No. 5
This record from Alexandria via LeMat-Bulk describes a relaxed SbSe2IN crystal. The functional is PBE-GGA.

Values from the calculation:
N(E_F) ... 0.47 states/eV per atom
Offset from the most stable computed form ... 260 meV/atom

Cell lengths 5.5610, 5.5610, 3.9346 Å; angles 90.00, 90.00, 90.00 degrees
Closest atoms and distances in Å follow each position.
Positions (direct):
Sb (0.0000, 0.0000, 0.0000)  8 Se 3.41
Se (0.0000, 0.5000, 0.5000)  2 I 2.78
Se (0.5000, 0.0000, 0.5000)  2 I 2.78
I (0.5000, 0.5000, 0.5000)  2 N 1.97
N (0.5000, 0.5000, 0.0000)  2 I 1.97

No. 6
This record from Alexandria via LeMat-Bulk describes a relaxed SbSe2IN crystal. The functional is PBE-GGA.

Values from the calculation:
N(E_F) ... 1.07 states/eV per atom
Offset from the most stable computed form ... 0 meV/atom

Cell lengths 5.5239, 5.5239, 3.9488 Å; angles 90.00, 90.00, 90.00 degrees
Closest atoms and distances in Å follow each position.
Positions (direct):
Sb (0.0000, 0.0000, 0.0000)  2 N 1.97
Se (0.0000, 0.5000, 0.0000)  2 Sb 2.76
Se (0.5000, 0.0000, 0.0000)  2 Sb 2.76
I (0.5000, 0.5000, 0.5000)  8 Se 3.40
N (0.0000, 0.0000, 0.5000)  2 Sb 1.97

No. 7
This record from Alexandria via LeMat-Bulk describes a relaxed SiSb2IN crystal. The functional is PBE-GGA.

Values from the calculation:
N(E_F) ... 0.72 states/eV per atom
Offset from the most stable computed form ... 0 meV/atom

Cell lengths 4.8434, 4.8434, 4.7331 Å; angles 90.00, 90.00, 90.00 degrees
Closest atoms and distances in Å follow each position.
Positions (direct):
Si (0.0000, 0.0000, 0.0000)  8 Sb 3.39, 4 I 3.42
Sb (0.0000, 0.5000, 0.5000)  2 N 2.42
Sb (0.5000, 0.0000, 0.5000)  2 N 2.42
I (0.5000, 0.5000, 0.0000)  2 N 2.37
N (0.5000, 0.5000, 0.5000)  2 I 2.37, 4 Sb 2.42

No. 8
This record from Alexandria via LeMat-Bulk describes a relaxed SnSbI2N crystal. The functional is PBE-GGA.

Values from the calculation:
N(E_F) ... 2.75 states/eV per atom
Offset from the most stable computed form ... 1115 meV/atom

Cell lengths 5.8316, 5.8316, 5.9518 Å; angles 90.00, 90.00, 90.00 degrees
Closest atoms and distances in Å follow each position.
Positions (direct):
Sn (0.0000, 0.0000, 0.0000)  4 I 2.92, 2 Sb 2.98
Sb (0.0000, 0.0000, 0.5000)  2 Sn 2.98
I (0.0000, 0.5000, 0.0000)  2 Sn 2.92
I (0.5000, 0.0000, 0.0000)  2 Sn 2.92
N (0.5000, 0.5000, 0.5000)  4 Sb 4.12, 8 I 4.17

No. 9
This record from Alexandria via LeMat-Bulk describes a relaxed SnSbI2N crystal. The functional is PBE-GGA.

Values from the calculation:
N(E_F) ... 0.72 states/eV per atom
Offset from the most stable computed form ... 217 meV/atom

Cell lengths 4.9961, 4.9961, 5.0595 Å; angles 90.00, 90.00, 90.00 degrees
Closest atoms and distances in Å follow each position.
Positions (direct):
Sn (0.0000, 0.0000, 0.0000)  4 Sb 3.53, 8 I 3.56
Sb (0.5000, 0.5000, 0.0000)  2 N 2.53
I (0.0000, 0.5000, 0.5000)  2 N 2.50
I (0.5000, 0.0000, 0.5000)  2 N 2.50
N (0.5000, 0.5000, 0.5000)  4 I 2.50, 2 Sb 2.53

No. 10
This record from Alexandria via LeMat-Bulk describes a relaxed SnSbI2N crystal. The functional is PBE-GGA.

Values from the calculation:
N(E_F) ... 0.46 states/eV per atom
Offset from the most stable computed form ... 0 meV/atom

Cell lengths 6.3115, 6.3115, 3.9983 Å; angles 90.00, 90.00, 90.00 degrees
Closest atoms and distances in Å follow each position.
Positions (direct):
Sn (0.0000, 0.0000, 0.0000)  8 I 3.74, 2 Sn 4.00
Sb (0.5000, 0.5000, 0.5000)  2 N 2.00
I (0.0000, 0.5000, 0.5000)  2 Sb 3.16
I (0.5000, 0.0000, 0.5000)  2 Sb 3.16
N (0.5000, 0.5000, 0.0000)  2 Sb 2.00

No. 11
This record from Alexandria via LeMat-Bulk describes a relaxed SnSbI2N crystal. The functional is PBE-GGA.

Values from the calculation:
N(E_F) ... 0.73 states/eV per atom
Offset from the most stable computed form ... 139 meV/atom

Cell lengths 6.1863, 6.1863, 3.8642 Å; angles 90.00, 90.00, 90.00 degrees
Closest atoms and distances in Å follow each position.
Positions (direct):
Sn (0.0000, 0.0000, 0.0000)  2 N 1.93
Sb (0.5000, 0.5000, 0.5000)  8 I 3.65, 2 Sb 3.86
I (0.0000, 0.5000, 0.0000)  2 Sn 3.09
I (0.5000, 0.0000, 0.0000)  2 Sn 3.09
N (0.0000, 0.0000, 0.5000)  2 Sn 1.93

No. 12
This record from Alexandria via LeMat-Bulk describes a relaxed SrSbI2N crystal. The functional is PBE-GGA.

Values from the calculation:
N(E_F) ... 0.36 states/eV per atom
Offset from the most stable computed form ... 0 meV/atom

Cell lengths 6.3939, 6.3939, 4.0929 Å; angles 90.00, 90.00, 90.00 degrees
Closest atoms and distances in Å follow each position.
Positions (direct):
Sr (0.0000, 0.0000, 0.0000)  8 I 3.80, 2 Sr 4.09
Sb (0.5000, 0.5000, 0.5000)  2 N 2.05
I (0.0000, 0.5000, 0.5000)  2 Sb 3.20
I (0.5000, 0.0000, 0.5000)  2 Sb 3.20
N (0.5000, 0.5000, 0.0000)  2 Sb 2.05

N(E_F) of number 11 (SnSbI2N)? 0.73 states/eV per atom

What is the offset from the most stable computed form in the sixth record? 0 meV/atom

Which value of offset from the most stable computed form does entry 4 give? 481 meV/atom